{
  "formula": "Pm2PrPd",
  "functional": "PBE",
  "state": "optimized geometry",
  "lattice_angstrom": [[3.515, 0.000, 0.000], [-1.758, 3.044, 0.000], [0.000, 0.000, 34.183]],
  "species": ["Pm", "Pm", "Pm", "Pm", "Pm", "Pm", "Pr", "Pr", "Pr", "Pd", "Pd", "Pd"],
  "fractional_positions": [[0.000, 0.000, 0.078], [0.000, 0.000, 0.922], [0.333, 0.667, 0.589], [0.333, 0.667, 0.745], [0.667, 0.333, 0.255], [0.667, 0.333, 0.411], [0.000, 0.000, 0.500], [0.333, 0.667, 0.167], [0.667, 0.333, 0.833], [0.000, 0.000, 0.000], [0.333, 0.667, 0.667], [0.667, 0.333, 0.333]],
  "vol_a3_per_atom": 30.49,
  "crystal_system": "trigonal",
  "delta_e_f_ev_per_atom": 0.091,
  "e_tot_ev_per_cell": -57.32
}

=====

{
  "formula": "VInRu",
  "functional": "PBE",
  "state": "optimized geometry",
  "lattice_angstrom": [[3.026, 0.000, 0.000], [0.000, 3.026, 0.000], [0.000, 0.000, 10.566]],
  "species": ["V", "V", "In", "In", "Ru", "Ru"],
  "fractional_positions": [[0.000, 0.000, 0.000], [0.500, 0.500, 0.500], [0.000, 0.000, 0.312], [0.500, 0.500, 0.812], [0.000, 0.000, 0.626], [0.500, 0.500, 0.126]],
  "vol_a3_per_atom": 16.13,
  "crystal_system": "tetragonal",
  "delta_e_f_ev_per_atom": -0.075,
  "e_tot_ev_per_cell": -42.72
}